6
Lattice="4.2356 0.0000 0.0000 -2.1178 3.6682 0.0000 0.0000 0.0000 8.4630" Properties=species:S:1:pos:R:3 comment="LaPmSi2Pd2 GGA-PBE relaxed" dos_ef_per_ev_cell=5.0 m_tot_mub_per_fu=0.0 spacegroup="P-3m1, No. 164" crystal_system=trigonal formation_energy_uncorrected_ev_per_atom=-0.92 pbc="T T T"
La 0.0000 0.0000 0.0000
Pm 0.0000 0.0000 4.2315
Si 0.0000 2.4454 2.1580
Si 2.1178 1.2227 6.3050
Pd 0.0000 2.4454 6.2685
Pd 2.1178 1.2227 2.1944

6
Lattice="-3.4642 0.4534 3.1079 2.3288 -4.0412 -0.3323 3.7273 1.8282 3.8879" Properties=species:S:1:pos:R:3 comment="TbIn2Rh3 GGA-PBE relaxed" dos_ef_per_ev_cell=3.3 m_tot_mub_per_fu=0.0 formation_enthalpy_0k_ev_per_atom=-0.636 spacegroup="P-3m1, No. 164" crystal_system=trigonal pbc="T T T"
Tb 0.0000 0.0000 0.0000
In -0.3146 -0.4471 3.2323
In 2.9065 -1.3125 3.4312
Rh 1.8636 0.9141 1.9440
Rh 1.4998 0.4429 5.1249
Rh 1.0920 -2.2025 1.5386

5
Lattice="5.4408 0.0000 0.0000 0.0000 5.4408 0.0000 0.0000 0.0000 3.8283" Properties=species:S:1:pos:R:3 comment="AgTe2RuN GGA-PBE relaxed" dos_ef_per_ev_cell=7.2 m_tot_mub_per_fu=2.8 de_polymorph_mev_per_atom=1236 spacegroup="P4/mmm, No. 123" crystal_system=tetragonal formation_energy_uncorrected_ev_per_atom=1.57 pbc="T T T"
Ru 2.7204 2.7204 1.9141
Te 0.0000 2.7204 0.0000
Te 2.7204 0.0000 0.0000
Ag 0.0000 0.0000 0.0000
N 0.0000 0.0000 1.9141

5
Lattice="4.1365 0.0000 0.0000 0.0000 4.1365 0.0000 0.0000 0.0000 6.2857" Properties=species:S:1:pos:R:3 comment="LiScIN2 GGA-PBE relaxed" dos_ef_per_ev_cell=1.5 m_tot_mub_per_fu=0.9 de_polymorph_mev_per_atom=0 spacegroup="P4/mmm, No. 123" crystal_system=tetragonal formation_energy_uncorrected_ev_per_atom=0.17 pbc="T T T"
I 0.0000 0.0000 3.1429
Sc 0.0000 0.0000 0.0000
Li 2.0682 2.0682 3.1429
N 0.0000 2.0682 0.0000
N 2.0682 0.0000 0.0000